The following is a DFT calculation (GGA-PBE) of crystalline KAgGe2 at its relaxed geometry.

Cell: 5.001 5.001 5.001 Å, 60.00 60.00 60.00°
Positions (direct):
Ge  0.250  0.250  0.250
Ge  0.750  0.750  0.750
K  0.000  0.000  0.000
Ag  0.500  0.500  0.500

Calculated values
ρ: 5.49 g cm⁻³
E above lowest polymorph: 1.41 eV/f.u.
Formation enthalpy at 0 K: 0.343 eV per atom
Total magnetization: 0.000 μB per formula unit

---

The following is a DFT calculation (GGA-PBE) of crystalline TcOs3S at its relaxed geometry.

Cell: 4.692 4.692 4.692 Å, 90.00 90.00 90.00°
Each line ends with the local moment (μB).
Positions (direct):
S  0.500  0.500  0.500  0.14
Os  0.000  0.500  0.000  1.00
Os  0.000  0.000  0.500  0.84
Os  0.500  0.000  0.000  0.76
Tc  0.000  0.000  0.000  -0.12

Calculated values
ρ: 11.27 g cm⁻³
Total magnetization: 2.868 μB per formula unit
Uncorrected formation energy: 2588 meV/atom

---

The following is a DFT calculation (GGA-PBE) of crystalline CaLa3Cl at its relaxed geometry.

Cell: 5.633 5.633 5.633 Å, 90.00 90.00 90.00°
Positions (direct):
Ca  0.500  0.500  0.500
Cl  0.000  0.000  0.000
La  0.000  0.500  0.000
La  0.000  0.000  0.500
La  0.500  0.000  0.000

Calculated values
ρ: 4.57 g cm⁻³
E above lowest polymorph: 0.00 eV/f.u.
Total magnetization: 0.000 μB per formula unit
Uncorrected formation energy: -567 meV/atom

---

The following is a DFT calculation (GGA-PBE) of crystalline Tl2SiW at its relaxed geometry.

Cell: 3.021 3.021 10.253 Å, 90.00 90.00 108.24°
Positions (direct):
Si  0.500  0.500  0.707
Tl  0.000  0.000  0.965
Tl  0.500  0.500  0.291
W  0.000  0.000  0.537

Calculated values
ρ: 11.60 g cm⁻³
E above lowest polymorph: 0.38 eV/f.u.
Total magnetization: 0.000 μB per formula unit
Uncorrected formation energy: 555 meV/atom